DFT (PBE-GGA) results for a relaxed structure of NaNbSb2.

a b c (Å): 5.041 5.041 5.041
angles (deg): 60.00 60.00 60.00
Atoms (fractional coordinates):
1 Na 0.000 0.000 0.000
2 Nb 0.500 0.500 0.500
3 Sb 0.250 0.250 0.250
4 Sb 0.750 0.750 0.750

Output
**Relative energy among the computed polymorphs**: 313 meV per atom
**Energy relative to the elements, uncorrected**: 0.077 eV per atom
**Magnetization**: 1.61 μB/f.u.
**DOS(E_F)**: 3.0 states/eV per cell
**Space group**: Fm-3m